A relaxed K3HgH5 crystal. Source: Alexandria, functional PBE. Values from VASP.

## Properties
Space-group type: I4/mcm, No. 140
VASP energy (eV per cell): -43.3

Structure (Quantum ESPRESSO input):
```
&SYSTEM
  ibrav = 0, nat = 18, ntyp = 3
/
ATOMIC_SPECIES
H 1.01 H.upf
K 39.10 K.upf
Hg 200.59 Hg.upf
CELL_PARAMETERS angstrom
3.049 0.387 -6.951
6.460 -2.984 2.668
-6.732 -4.023 0.978
ATOMIC_POSITIONS angstrom
H -1.114 -3.123 -3.702
H 1.439 -3.820 -4.852
H 1.338 -2.799 1.547
H 1.367 -1.915 -2.546
H 1.411 -4.704 -0.759
H 0.000 0.000 0.000
H 3.892 -3.496 0.397
H 4.755 -1.298 -2.141
H 2.327 -5.609 1.824
H 0.451 -1.010 -5.129
K 3.766 -3.959 -2.723
K 2.613 -0.882 -0.407
K 3.245 -0.276 -4.250
K 6.264 -2.320 -0.033
K -0.988 -2.660 -0.582
K 6.896 -1.714 -3.876
Hg 0.536 -2.467 -4.057
Hg 2.242 -4.152 0.752
```

A relaxed CeLuThPb crystal. Source: Alexandria, functional PBE. Values from VASP.

## Properties
Space-group type: F-43m, No. 216
Formation enthalpy at 0 K (eV per atom): 0.001

Structure (Quantum ESPRESSO input):
```
&SYSTEM
  ibrav = 0, nat = 4, ntyp = 4
/
ATOMIC_SPECIES
Ce 140.12 Ce.upf
Lu 174.97 Lu.upf
Th 232.04 Th.upf
Pb 207.20 Pb.upf
CELL_PARAMETERS angstrom
-2.385 3.568 -3.396
-5.204 -0.734 -1.527
-3.898 3.362 1.859
ATOMIC_POSITIONS angstrom
Ce -5.743 3.098 -1.532
Lu 0.000 0.000 0.000
Th -8.615 4.647 -2.298
Pb -2.872 1.549 -0.766
```

A relaxed TbY3Tm2P6 crystal. Source: Alexandria, functional PBE. Values from VASP.

## Properties
Space-group type: C2/m, No. 12
Formation enthalpy at 0 K (eV per atom): -1.617

Structure (Quantum ESPRESSO input):
```
&SYSTEM
  ibrav = 0, nat = 12, ntyp = 4
/
ATOMIC_SPECIES
Tm 168.93 Tm.upf
Y 88.91 Y.upf
P 30.97 P.upf
Tb 158.93 Tb.upf
CELL_PARAMETERS angstrom
-3.804 -5.490 1.803
6.815 0.027 1.191
-2.040 4.466 4.876
ATOMIC_POSITIONS angstrom
Tm -0.266 -3.652 1.599
Tm 3.277 -1.811 1.395
Y 4.031 1.344 3.731
Y -3.060 -2.341 4.139
Y 0.486 -0.498 3.935
P -1.062 -1.660 6.016
P 2.506 0.193 5.811
P -0.772 1.977 4.431
P 1.743 -2.974 3.439
P 2.033 0.663 1.854
P -1.534 -1.190 2.059
Tb 0.000 0.000 0.000
```

A relaxed Ni2AsH crystal. Source: Alexandria, functional PBE. Values from VASP.

## Properties
Space-group type: Pnma, No. 62
Energy above the lowest structure with this stoichiometry (eV/f.u.): 0.04

Structure (Quantum ESPRESSO input):
```
&SYSTEM
  ibrav = 0, nat = 16, ntyp = 3
/
ATOMIC_SPECIES
Ni 58.69 Ni.upf
H 1.01 H.upf
As 74.92 As.upf
CELL_PARAMETERS angstrom
3.296 0.000 0.000
0.000 5.496 0.000
0.000 0.000 9.394
ATOMIC_POSITIONS angstrom
Ni 0.824 1.666 0.201
Ni 2.472 1.774 7.451
Ni 2.472 3.830 9.192
Ni 0.824 4.414 4.496
Ni 2.472 4.522 6.640
Ni 0.824 0.974 2.754
Ni 2.472 1.082 4.898
Ni 0.824 3.723 1.943
H 0.824 0.609 4.374
H 0.824 3.357 0.323
H 2.472 4.887 5.020
H 2.472 2.139 9.070
As 0.824 5.373 8.047
As 2.472 2.872 3.351
As 2.472 0.124 1.346
As 0.824 2.624 6.043
```

A relaxed NdGdTl2 crystal. Source: Alexandria, functional PBE. Values from VASP.

## Properties
Space-group type: P4/mmm, No. 123
Energy above the lowest structure with this stoichiometry (eV/f.u.): 0.00
Formation enthalpy at 0 K (eV per atom): -0.391

Structure (Quantum ESPRESSO input):
```
&SYSTEM
  ibrav = 0, nat = 4, ntyp = 3
/
ATOMIC_SPECIES
Tl 204.38 Tl.upf
Gd 157.25 Gd.upf
Nd 144.24 Nd.upf
CELL_PARAMETERS angstrom
-3.349 -1.778 0.621
1.790 -2.615 2.172
-1.187 4.445 6.329
ATOMIC_POSITIONS angstrom
Tl -0.898 3.363 4.788
Tl -0.289 1.082 1.540
Gd -0.779 -2.196 1.396
Nd -1.372 0.026 4.561
```

A relaxed BaMg2Zr crystal. Source: Alexandria, functional PBE. Values from VASP.

## Properties
Space-group type: I-4m2, No. 119
Energy above the lowest structure with this stoichiometry (eV/f.u.): 1.20
Formation enthalpy at 0 K (eV per atom): 0.436

Structure (Quantum ESPRESSO input):
```
&SYSTEM
  ibrav = 0, nat = 4, ntyp = 3
/
ATOMIC_SPECIES
Zr 91.22 Zr.upf
Ba 137.33 Ba.upf
Mg 24.30 Mg.upf
CELL_PARAMETERS angstrom
6.008 0.000 0.000
2.018 5.659 0.000
-4.013 -2.830 3.463
ATOMIC_POSITIONS angstrom
Zr 4.013 2.830 0.000
Ba 3.004 0.000 1.731
Mg 0.000 0.000 0.000
Mg 1.009 2.830 1.731
```

A relaxed CaZrGaPd crystal. Source: Alexandria, functional PBE. Values from VASP.

## Properties
Space-group type: F-43m, No. 216
Formation enthalpy at 0 K (eV per atom): -0.437

Structure (Quantum ESPRESSO input):
```
&SYSTEM
  ibrav = 0, nat = 4, ntyp = 4
/
ATOMIC_SPECIES
Pd 106.42 Pd.upf
Ga 69.72 Ga.upf
Zr 91.22 Zr.upf
Ca 40.08 Ca.upf
CELL_PARAMETERS angstrom
-3.267 3.269 -1.597
-3.738 -1.447 -2.800
-4.545 -0.006 1.802
ATOMIC_POSITIONS angstrom
Pd -2.888 0.454 -0.649
Ga -8.663 1.362 -1.946
Zr 0.000 0.000 0.000
Ca -5.775 0.908 -1.297
```

A relaxed NaHfFeAu2 crystal. Source: Alexandria, functional PBE. Values from VASP.

## Properties
Space-group type: P4/mmm, No. 123
Energy above the lowest structure with this stoichiometry (eV/f.u.): 1.99
Formation enthalpy at 0 K (eV per atom): 1.187

Structure (Quantum ESPRESSO input):
```
&SYSTEM
  ibrav = 0, nat = 5, ntyp = 4
/
ATOMIC_SPECIES
Hf 178.49 Hf.upf
Au 196.97 Au.upf
Fe 55.84 Fe.upf
Na 22.99 Na.upf
CELL_PARAMETERS angstrom
4.660 0.000 0.000
0.000 4.405 0.000
0.000 0.000 4.660
ATOMIC_POSITIONS angstrom
Hf 2.330 2.202 2.330
Au 2.330 0.000 0.000
Au 0.000 0.000 2.330
Fe 0.000 2.202 0.000
Na 0.000 0.000 0.000
```

A relaxed NdY3Al8 crystal. Source: Alexandria, functional PBE. Values from VASP.

## Properties
Space-group type: R3m, No. 160
Energy above the lowest structure with this stoichiometry (eV/f.u.): 0.00
Formation enthalpy at 0 K (eV per atom): -0.520

Structure (Quantum ESPRESSO input):
```
&SYSTEM
  ibrav = 0, nat = 12, ntyp = 3
/
ATOMIC_SPECIES
Al 26.98 Al.upf
Y 88.91 Y.upf
Nd 144.24 Nd.upf
CELL_PARAMETERS angstrom
5.591 0.000 0.000
2.796 4.842 0.000
2.796 1.614 9.182
ATOMIC_POSITIONS angstrom
Al 2.796 1.614 4.026
Al 4.192 2.420 1.698
Al 6.990 2.420 1.698
Al 5.591 4.844 1.698
Al 6.986 5.650 6.334
Al 8.387 3.225 6.334
Al 9.787 5.650 6.334
Al 8.387 4.842 8.600
Y 5.591 3.228 8.021
Y 5.591 3.228 4.604
Y 8.387 4.842 0.003
Nd 8.387 4.842 3.443
```

A relaxed MgNi2Os crystal. Source: Alexandria, functional PBE. Values from VASP.

## Properties
Space-group type: Cmmm, No. 65
Formation enthalpy at 0 K (eV per atom): 0.017

Structure (Quantum ESPRESSO input):
```
&SYSTEM
  ibrav = 0, nat = 4, ntyp = 3
/
ATOMIC_SPECIES
Os 190.23 Os.upf
Ni 58.69 Ni.upf
Mg 24.30 Mg.upf
CELL_PARAMETERS angstrom
-3.190 2.055 2.460
-0.690 -1.190 -5.868
-1.703 -1.928 -0.595
ATOMIC_POSITIONS angstrom
Os -1.940 0.433 -1.704
Ni -1.196 -1.559 -3.232
Ni 0.000 0.000 0.000
Mg -2.446 0.063 0.933
```

A relaxed ScTlAg2Cl6 crystal. Source: Alexandria, functional PBE. Values from VASP.

## Properties
Space-group type: P1, No. 1
Uncorrected formation energy (eV per formula unit): -12.11

Structure (Quantum ESPRESSO input):
```
&SYSTEM
  ibrav = 0, nat = 10, ntyp = 4
/
ATOMIC_SPECIES
Tl 204.38 Tl.upf
Cl 35.45 Cl.upf
Ag 107.87 Ag.upf
Sc 44.96 Sc.upf
CELL_PARAMETERS angstrom
-0.365 1.800 6.763
5.393 -1.305 4.275
4.161 5.890 2.294
ATOMIC_POSITIONS angstrom
Tl 6.457 3.791 10.237
Cl 2.178 1.985 5.427
Cl 3.595 2.318 9.318
Cl 6.941 4.237 7.215
Cl 5.963 0.576 6.389
Cl 5.048 4.362 4.367
Cl 3.808 5.611 7.300
Ag 5.052 0.542 11.027
Ag 4.418 2.791 6.762
Sc 1.709 0.242 3.661
```

A relaxed Ba6Tl2RhO crystal. Source: Alexandria, functional PBE. Values from VASP.

## Properties
Space-group type: Pmmn, No. 59
Uncorrected formation energy (eV per formula unit): -6.37

Structure (Quantum ESPRESSO input):
```
&SYSTEM
  ibrav = 0, nat = 20, ntyp = 4
/
ATOMIC_SPECIES
Tl 204.38 Tl.upf
Ba 137.33 Ba.upf
O 16.00 O.upf
Rh 102.91 Rh.upf
CELL_PARAMETERS angstrom
8.254 0.000 0.000
0.000 8.251 0.000
0.000 0.000 11.668
ATOMIC_POSITIONS angstrom
Tl 4.127 6.195 8.763
Tl 0.000 2.056 2.929
Tl 4.127 6.195 2.905
Tl 0.000 2.056 8.739
Ba 0.000 6.190 2.807
Ba 2.141 4.046 5.834
Ba 1.986 4.204 0.000
Ba 2.141 0.075 5.834
Ba 4.127 2.061 3.026
Ba 6.113 4.046 5.834
Ba 6.268 4.204 0.000
Ba 4.127 2.061 8.641
Ba 6.268 8.176 0.000
Ba 6.114 0.075 5.834
Ba 0.000 6.190 8.860
Ba 1.986 8.176 0.000
O 4.127 2.060 5.834
O 0.000 6.191 0.000
Rh 0.000 6.183 5.834
Rh 4.127 2.068 0.000
```